[1]
This record from Alexandria describes a geometry-optimized KLaDy4S8 structure. The functional is GGA-PBE.

Lattice parameters (Å, degrees): 8.2068 8.2068 20.7612 90.00 90.00 120.00
Space group R3m (No. 160, hexagonal axes)
One atom of each set of equivalent atoms:
K  0.0000  0.0000  0.0000 x3
La  0.0000  0.0000  0.6327 x3
Dy  0.0000  0.0000  0.2548 x3
Dy  0.1725  0.3450  0.4609 x9
S  0.0000  0.0000  0.3860 x3
S  0.0000  0.0000  0.8614 x3
S  0.0385  0.5192  0.3888 x9
S  0.1730  0.3460  0.2070 x9

Calculated values
V	1211	Å³/cell
uncorrected formation energy	-1947	meV/atom


[2]
This record from Alexandria describes a geometry-optimized FeCo structure. The functional is GGA-PBE.

Lattice parameters (Å, degrees): 4.9282 8.0341 4.7004 90.00 100.11 90.00
Space group C2/m (No. 12)
One atom of each set of equivalent atoms:
Fe  0.1292  0.0000  0.2521 x4
Fe  0.2500  0.2500  0.0000 x4
Co  0.0000  0.2468  0.5000 x4
Co  0.1279  0.5000  0.2523 x4

Calculated values
V	183	Å³/cell
energy	-7.800	eV per atom


[3]
This record from Alexandria describes a geometry-optimized Fe4IrRh structure. The functional is GGA-PBE.

Lattice parameters (Å, degrees): 6.6622 6.6622 6.6622 90.00 90.00 90.00
Space group F-43m (No. 216)
One atom of each set of equivalent atoms:
Fe  0.1251  0.1251  0.1251 x16
Ir  0.0000  0.0000  0.5000 x4
Rh  0.2500  0.2500  0.7500 x4

Calculated values
V	296	Å³/cell
distance to the lowest polymorph of the same formula	84	meV per atom